Density functional theory data (PBE-GGA) for a geometry-optimized DyInAgIr structure.

Lattice parameters (Å, degrees): 6.8298 6.8298 6.8298 90.00 90.00 90.00
Space group F-43m (No. 216)
One atom of each set of equivalent atoms:
Dy (0.0000, 0.0000, 0.0000) [4 per cell]
In (0.0000, 0.0000, 0.5000) [4 per cell]
Ag (0.2500, 0.2500, 0.2500) [4 per cell]
Ir (0.2500, 0.2500, 0.7500) [4 per cell]

Calculated values
Density of states at the Fermi level (states/eV/cell): 12.933
Energy relative to the elements (kJ/mol of formula units): -151